# 1
YInHg2: optimized geometry, GGA-PBEsol.

## Properties
Density of states at the Fermi level, states/eV/cell: 2.3
Space group: No. 123
Calculated total energy, eV/f.u.: -12.822

a = 4.5674 Å, b = 4.5674 Å, c = 4.3921 Å
α = 90.00°, β = 90.00°, γ = 90.00°
Element x y z (fractional)
1 Y 0.0000 0.0000 0.0000
2 In 0.5000 0.5000 0.0000
3 Hg 0.0000 0.5000 0.5000
4 Hg 0.5000 0.0000 0.5000

***

# 2
HoInPd2: optimized geometry, GGA-PBEsol.

## Properties
Density of states at the Fermi level, states/eV/cell: 2.0
Space group: No. 225
Calculated total energy, eV/f.u.: -23.235

a = 4.7070 Å, b = 4.7070 Å, c = 4.7070 Å
α = 60.00°, β = 60.00°, γ = 60.00°
Element x y z (fractional)
1 Ho 0.0000 0.0000 0.0000
2 In 0.5000 0.5000 0.5000
3 Pd 0.2500 0.2500 0.2500
4 Pd 0.7500 0.7500 0.7500

***

# 3
MgBe2Ag: optimized geometry, GGA-PBEsol.

## Properties
Density of states at the Fermi level, states/eV/cell: 0.8
Space group: No. 38
Calculated total energy, eV/f.u.: -12.369

a = 3.8802 Å, b = 5.0727 Å, c = 5.0727 Å
α = 31.91°, β = 90.00°, γ = 90.00°
Element x y z (fractional)
1 Mg 0.0000 0.0000 0.0000
2 Be 0.0000 0.7298 0.7298
3 Be 0.5000 0.6204 0.6204
4 Ag 0.5000 0.3285 0.3285

***

# 4
MnAsSeBr2: optimized geometry, GGA-PBEsol.

## Properties
Formation energy (no corrections), meV/atom: 424
Density of states at the Fermi level, states/eV/cell: 2.8
Space group: No. 123
Calculated total energy, eV/f.u.: -20.340

a = 5.1794 Å, b = 5.1794 Å, c = 5.0834 Å
α = 90.00°, β = 90.00°, γ = 90.00°
Element x y z (fractional)
1 Mn 0.0000 0.0000 0.0000
2 As 0.5000 0.5000 0.5000
3 Se 0.5000 0.5000 0.0000
4 Br 0.0000 0.5000 0.5000
5 Br 0.5000 0.0000 0.5000

***

# 5
CaCd: optimized geometry, GGA-PBEsol.

## Properties
Density of states at the Fermi level, states/eV/cell: 2.9
Space group: No. 166
Calculated total energy, eV/f.u.: -3.468

a = 9.9751 Å, b = 9.9751 Å, c = 9.9751 Å
α = 22.05°, β = 22.05°, γ = 22.05°
Element x y z (fractional)
1 Ca 0.1114 0.1114 0.1114
2 Ca 0.8886 0.8886 0.8886
3 Cd 0.3658 0.3658 0.3658
4 Cd 0.6342 0.6342 0.6342

***

# 6
LiSiI2O: optimized geometry, GGA-PBEsol.

## Properties
Formation energy (no corrections), meV/atom: 45
Density of states at the Fermi level, states/eV/cell: 3.1
Space group: No. 123
Calculated total energy, eV/f.u.: -16.269

a = 5.2968 Å, b = 5.2968 Å, c = 3.6764 Å
α = 90.00°, β = 90.00°, γ = 90.00°
Element x y z (fractional)
1 Li 0.0000 0.0000 0.0000
2 Si 0.5000 0.5000 0.5000
3 I 0.0000 0.5000 0.0000
4 I 0.5000 0.0000 0.0000
5 O 0.0000 0.0000 0.5000

***

# 7
GdPd2O4: optimized geometry, GGA-PBEsol.

## Properties
Formation energy (no corrections), meV/atom: -1635
Density of states at the Fermi level, states/eV/cell: 8.3
Space group: No. 88
Calculated total energy, eV/f.u.: -58.807

a = 6.4579 Å, b = 6.4579 Å, c = 6.4579 Å
α = 127.12°, β = 127.12°, γ = 78.05°
Element x y z (fractional)
1 Gd 0.3750 0.1250 0.2500
2 Gd 0.6250 0.8750 0.7500
3 Pd 0.0000 0.0000 0.5000
4 Pd 0.0000 0.5000 0.0000
5 Pd 0.0000 0.5000 0.5000
6 Pd 0.5000 0.5000 0.0000
7 O 0.0230 0.7323 0.9026
8 O 0.2323 0.8297 0.7093
9 O 0.3297 0.1205 0.5974
10 O 0.3795 0.4770 0.2093
11 O 0.6205 0.5230 0.7907
12 O 0.6703 0.8795 0.4026
13 O 0.7677 0.1703 0.2907
14 O 0.9770 0.2677 0.0974

***

# 8
Mg2Sc: optimized geometry, GGA-PBEsol.

## Properties
Density of states at the Fermi level, states/eV/cell: 2.2
Space group: No. 71
Calculated total energy, eV/f.u.: -9.966

a = 5.4224 Å, b = 5.4224 Å, c = 5.4224 Å
α = 147.08°, β = 127.57°, γ = 63.31°
Element x y z (fractional)
1 Mg 0.1646 0.1646 0.0000
2 Mg 0.8354 0.8354 0.0000
3 Sc 0.5000 0.5000 0.0000

***

# 9
Zn3Cu: optimized geometry, GGA-PBEsol.

## Properties
Density of states at the Fermi level, states/eV/cell: 0.7
Space group: No. 166
Calculated total energy, eV/f.u.: -9.154

a = 4.8894 Å, b = 4.8894 Å, c = 4.8894 Å
α = 116.93°, β = 116.93°, γ = 116.93°
Element x y z (fractional)
1 Zn 0.0000 0.5000 0.5000
2 Zn 0.5000 0.0000 0.5000
3 Zn 0.5000 0.5000 0.0000
4 Cu 0.0000 0.0000 0.0000

***

# 10
ZnPbI3: optimized geometry, GGA-PBEsol.

## Properties
Formation energy (no corrections), meV/atom: -160
Density of states at the Fermi level, states/eV/cell: 3.2
Space group: No. 221
Calculated total energy, eV/f.u.: -11.679

a = 5.4617 Å, b = 5.4617 Å, c = 5.4617 Å
α = 90.00°, β = 90.00°, γ = 90.00°
Element x y z (fractional)
1 Zn 0.0000 0.0000 0.0000
2 Pb 0.5000 0.5000 0.5000
3 I 0.0000 0.0000 0.5000
4 I 0.0000 0.5000 0.0000
5 I 0.5000 0.0000 0.0000

***

# 11
Ba2LaTc: optimized geometry, GGA-PBEsol.

## Properties
Density of states at the Fermi level, states/eV/cell: 5.4
Space group: No. 65
Calculated total energy, eV/f.u.: -17.202

a = 6.3892 Å, b = 6.3892 Å, c = 3.5066 Å
α = 90.00°, β = 90.00°, γ = 120.82°
Element x y z (fractional)
1 Ba 0.0000 0.5000 0.0000
2 Ba 0.5000 0.0000 0.0000
3 La 0.0000 0.0000 0.5000
4 Tc 0.5000 0.5000 0.5000

***

# 12
Li2CeO3: optimized geometry, GGA-PBEsol.

## Properties
Formation energy (no corrections), meV/atom: -2644
Density of states at the Fermi level, states/eV/cell: 0.0
Space group: No. 65
Calculated total energy, eV/f.u.: -42.139

a = 5.2296 Å, b = 5.2296 Å, c = 3.5205 Å
α = 90.00°, β = 90.00°, γ = 129.51°
Element x y z (fractional)
1 Li 0.1545 0.8455 0.0000
2 Li 0.8455 0.1545 0.0000
3 Ce 0.5000 0.5000 0.5000
4 O 0.0000 0.0000 0.5000
5 O 0.3555 0.6445 0.0000
6 O 0.6445 0.3555 0.0000

***

Please write out number 8 again, unchanged.
Mg2Sc: optimized geometry, GGA-PBEsol.

## Properties
Density of states at the Fermi level, states/eV/cell: 2.2
Space group: No. 71
Calculated total energy, eV/f.u.: -9.966

a = 5.4224 Å, b = 5.4224 Å, c = 5.4224 Å
α = 147.08°, β = 127.57°, γ = 63.31°
Element x y z (fractional)
1 Mg 0.1646 0.1646 0.0000
2 Mg 0.8354 0.8354 0.0000
3 Sc 0.5000 0.5000 0.0000

***

Q: Look up the calculated total energy of the sixth one.
A: -16.269 eV/f.u.